A.
Density functional theory data (PBE) for an optimized crystal structure of ScTlOsN2.

abc: 4.1138 4.1138 5.4601
angles: 90.00 90.00 90.00
Atoms (fractional coordinates):
Sc  0.0000  0.0000  0.0000
Tl  0.5000  0.5000  0.5000
Os  0.0000  0.0000  0.5000
N  0.0000  0.5000  0.0000
N  0.5000  0.0000  0.0000

B.
Density functional theory data (PBE) for an optimized crystal structure of ScTlOsN2.

abc: 4.2128 4.2128 5.3195
angles: 90.00 90.00 90.00
Atoms (fractional coordinates):
Sc  0.0000  0.0000  0.0000
Tl  0.5000  0.5000  0.5000
Os  0.5000  0.5000  0.0000
N  0.0000  0.5000  0.5000
N  0.5000  0.0000  0.5000

Stability check: which of them is least stable? B.